First-principles (PBE-GGA) data for a relaxed structure of CaCo2Ir, as listed in Alexandria via LeMat-Bulk.

Calculated values
The formation enthalpy at 0 K is 1.62 eV per formula unit. For the total magnetization, the calculation gives 3.96 μB per formula unit. The volume comes out at 61.8 Å³/f.u.

```
data_CaCo2Ir
_chemical_formula_sum 'Ca2 Co4 Ir2'
_space_group_name_H-M_alt 'I -4 m 2'
_space_group_IT_number 119
_space_group_name_Hall 'I -4 -2'
_cell_length_a 3.949
_cell_length_b 3.949
_cell_length_c 7.925
_cell_angle_alpha 90.00
_cell_angle_beta 90.00
_cell_angle_gamma 90.00
loop_
_atom_site_label
_atom_site_type_symbol
_atom_site_fract_x
_atom_site_fract_y
_atom_site_fract_z
_atom_site_occupancy
Ca1 Ca 0.000 0.000 0.000 1
Co1 Co 0.000 0.000 0.500 1
Co2 Co 0.000 0.500 0.750 1
Ir1 Ir 0.000 0.500 0.250 1
```